# 1
Material: Sm4GeBiTe2
Method: DFT, PBE
State: relaxed Values from VASP.

Properties
energy relative to the elements, uncorrected = -1.21 eV/atom
mass density = 7.6 Mg/m³

The structure in Quantum ESPRESSO input format:
```
&SYSTEM
  ibrav = 0, nat = 8, ntyp = 4
/
ATOMIC_SPECIES
Sm 150.36 Sm.upf
Ge 72.64 Ge.upf
Bi 208.98 Bi.upf
Te 127.60 Te.upf
CELL_PARAMETERS angstrom
-0.862 3.549 2.491
-6.773 0.843 -3.545
-5.382 -3.988 3.819
ATOMIC_POSITIONS angstrom
Sm -8.961 -2.325 0.211
Sm -4.057 2.729 2.553
Sm -6.821 1.310 -0.304
Sm -6.196 -0.906 3.069
Ge -6.078 -1.573 0.137
Bi -9.200 -1.792 3.292
Te -5.382 -3.988 3.819
Te -3.122 -0.219 3.155
```

=====

# 2
Material: TbPuHgBi
Method: DFT, PBE
State: relaxed Values from VASP.

Properties
formation enthalpy at 0 K = -0.37 eV per atom
mass density = 12.1 Mg/m³

The structure in Quantum ESPRESSO input format:
```
&SYSTEM
  ibrav = 0, nat = 4, ntyp = 4
/
ATOMIC_SPECIES
Hg 200.59 Hg.upf
Tb 158.93 Tb.upf
Bi 208.98 Bi.upf
Pu 244.00 Pu.upf
CELL_PARAMETERS angstrom
5.407 0.000 0.000
2.703 4.682 0.000
2.703 1.561 4.414
ATOMIC_POSITIONS angstrom
Hg 0.000 0.000 0.000
Tb 2.703 1.561 1.104
Bi 5.407 3.121 2.207
Pu 8.110 4.682 3.311
```

=====

# 3
Material: Ce3MgPb3
Method: DFT, PBE
State: relaxed Values from VASP.

Properties
formation enthalpy at 0 K = -0.25 eV per atom
mass density = 8.2 Mg/m³

The structure in Quantum ESPRESSO input format:
```
&SYSTEM
  ibrav = 0, nat = 14, ntyp = 3
/
ATOMIC_SPECIES
Ce 140.12 Ce.upf
Mg 24.30 Mg.upf
Pb 207.20 Pb.upf
CELL_PARAMETERS angstrom
6.717 0.838 0.295
-2.242 6.387 0.295
-0.404 -0.653 9.545
ATOMIC_POSITIONS angstrom
Ce 2.515 4.061 3.343
Ce -0.687 4.973 5.067
Ce 4.758 1.600 5.067
Ce -0.232 5.142 0.295
Ce 4.707 2.083 0.295
Ce 1.556 2.512 6.791
Mg 2.752 4.443 9.688
Mg 1.319 2.130 0.446
Pb 4.267 6.890 2.802
Pb 4.825 3.664 7.515
Pb 1.131 5.952 7.515
Pb -0.754 2.909 2.619
Pb 2.940 0.621 2.619
Pb -0.196 -0.317 7.332
```

=====

# 4
Material: Sc2InPb
Method: DFT, PBE
State: relaxed Values from VASP.

Properties
formation enthalpy at 0 K = -0.11 eV per atom
mass density = 6.8 Mg/m³

The structure in Quantum ESPRESSO input format:
```
&SYSTEM
  ibrav = 0, nat = 4, ntyp = 3
/
ATOMIC_SPECIES
In 114.82 In.upf
Pb 207.20 Pb.upf
Sc 44.96 Sc.upf
CELL_PARAMETERS angstrom
3.606 0.049 0.000
-0.043 3.606 0.000
0.000 0.000 7.783
ATOMIC_POSITIONS angstrom
In 0.000 0.000 3.719
Pb 1.781 1.827 5.866
Sc 0.000 0.000 0.096
Sc 1.781 1.827 1.993
```

=====

# 5
Material: AlTeS3
Method: DFT, PBE
State: relaxed Values from VASP.

Properties
energy relative to the elements, uncorrected = 0.03 eV/atom
mass density = 4.2 Mg/m³
relative energy among the computed polymorphs = 488.1 meV per atom

The structure in Quantum ESPRESSO input format:
```
&SYSTEM
  ibrav = 0, nat = 5, ntyp = 3
/
ATOMIC_SPECIES
S 32.06 S.upf
Te 127.60 Te.upf
Al 26.98 Al.upf
CELL_PARAMETERS angstrom
4.623 0.000 0.000
0.000 4.623 0.000
0.000 0.000 4.623
ATOMIC_POSITIONS angstrom
S 0.000 2.311 0.000
S 0.000 0.000 2.311
S 2.311 0.000 0.000
Te 2.311 2.311 2.311
Al 0.000 0.000 0.000
```

=====

# 6
Material: Na2SrLaCr
Method: DFT, PBE
State: relaxed Values from VASP.

Properties
formation enthalpy at 0 K = 1.82 eV per atom
mass density = 2.8 Mg/m³

The structure in Quantum ESPRESSO input format:
```
&SYSTEM
  ibrav = 0, nat = 5, ntyp = 4
/
ATOMIC_SPECIES
Sr 87.62 Sr.upf
Na 22.99 Na.upf
Cr 52.00 Cr.upf
La 138.91 La.upf
CELL_PARAMETERS angstrom
-2.681 4.356 -2.140
0.030 -2.732 -5.597
-4.853 -2.420 1.155
ATOMIC_POSITIONS angstrom
Sr 0.000 0.000 0.000
Na -2.426 -1.210 0.578
Na -1.341 2.178 -1.070
Cr -3.752 -0.398 -3.291
La 0.015 -1.366 -2.799
```

=====

# 7
Material: YSe3I
Method: DFT, PBE
State: relaxed Values from VASP.

Properties
energy relative to the elements, uncorrected = 0.14 eV/atom
mass density = 4.9 Mg/m³
relative energy among the computed polymorphs = 380.4 meV per atom

The structure in Quantum ESPRESSO input format:
```
&SYSTEM
  ibrav = 0, nat = 5, ntyp = 3
/
ATOMIC_SPECIES
I 126.90 I.upf
Y 88.91 Y.upf
Se 78.96 Se.upf
CELL_PARAMETERS angstrom
-2.044 -4.944 -0.229
4.106 -1.832 2.909
-2.764 0.935 4.490
ATOMIC_POSITIONS angstrom
I 0.000 0.000 0.000
Y -0.351 -2.921 3.585
Se 2.053 -0.916 1.454
Se -1.382 0.468 2.245
Se -1.022 -2.472 -0.114
```

=====

# 8
Material: Tb6Sn2SbTe3
Method: DFT, PBE
State: relaxed Values from VASP.

Properties
energy relative to the elements, uncorrected = -1.15 eV/atom
mass density = 7.8 Mg/m³

The structure in Quantum ESPRESSO input format:
```
&SYSTEM
  ibrav = 0, nat = 12, ntyp = 4
/
ATOMIC_SPECIES
Tb 158.93 Tb.upf
Sn 118.71 Sn.upf
Sb 121.76 Sb.upf
Te 127.60 Te.upf
CELL_PARAMETERS angstrom
4.407 0.000 0.000
0.000 8.815 0.318
-2.203 -2.538 9.258
ATOMIC_POSITIONS angstrom
Tb 0.000 6.301 6.492
Tb 2.203 4.218 3.317
Tb 2.203 -0.024 3.084
Tb 0.000 2.144 0.156
Tb 2.203 4.133 9.421
Tb 0.000 2.059 6.259
Sn 2.203 4.188 6.380
Sn 0.000 2.089 3.196
Sb 2.203 0.000 0.000
Te 2.203 4.408 0.159
Te 2.203 -0.232 6.248
Te 0.000 6.509 3.328
```